Crystalline LaPmGeAu at its relaxed geometry. Source: the Alexandria database, functional PBE.

Summary:
ΔH_f (0 K) in kcal/mol of atoms: -17.04
D(E_F) in states/eV/cell: 12.73
ρ in g/cm3: 8.82

a = 7.471 Å, b = 7.471 Å, c = 7.471 Å
α = 90.00°, β = 90.00°, γ = 90.00°
Space group F-43m (No. 216)
One atom of each set of equivalent atoms:
La  0.000  0.000  0.000 x4
Pm  0.000  0.000  0.500 x4
Ge  0.250  0.250  0.750 x4
Au  0.250  0.250  0.250 x4



Crystalline Tl2TcPb at its relaxed geometry. Source: the Alexandria database, functional PBE.

Summary:
ΔH_f (0 K) in kcal/mol of atoms: 10.36
D(E_F) in states/eV/cell: 4.13
ρ in g/cm3: 11.14

a = 3.121 Å, b = 4.662 Å, c = 14.636 Å
α = 90.00°, β = 90.00°, γ = 90.00°
Space group Immm (No. 71)
One atom of each set of equivalent atoms:
Tl  0.000  0.000  0.181 x4
Tc  0.000  0.500  0.500 x2
Pb  0.000  0.500  0.000 x2



Crystalline Li6PbAu5 at its relaxed geometry. Source: the Alexandria database, functional PBE.

Summary:
ΔH_f (0 K) in kcal/mol of atoms: -11.09
D(E_F) in states/eV/cell: 1.92
ρ in g/cm3: 10.43

a = 4.708 Å, b = 5.965 Å, c = 7.125 Å
α = 90.00°, β = 101.00°, γ = 90.00°
Space group P2/m (No. 10)
One atom of each set of equivalent atoms:
Li  0.000  0.232  0.000 x2
Li  0.336  0.243  0.646 x4
Pb  0.500  0.500  0.000 x1
Au  0.137  0.500  0.324 x2
Au  0.152  0.000  0.326 x2
Au  0.500  0.000  0.000 x1



Crystalline LuPdAu at its relaxed geometry. Source: the Alexandria database, functional PBE.

Summary:
ΔH_f (0 K) in kcal/mol of atoms: -17.18
D(E_F) in states/eV/cell: 1.92
ρ in g/cm3: 13.14

a = 4.6209 Å, b = 4.6209 Å, c = 3.2688 Å
α = 90.00°, β = 90.00°, γ = 120.00°
Space group P-6m2 (No. 187)
One atom of each set of equivalent atoms:
Lu  0.0000  0.0000  0.0000 x1
Pd  0.3333  0.6667  0.5000 x1
Au  0.6667  0.3333  0.5000 x1



Crystalline Sc5CdNi4 at its relaxed geometry. Source: the Alexandria database, functional PBE.

Summary:
ΔH_f (0 K) in kcal/mol of atoms: -10.59
D(E_F) in states/eV/cell: 7.72
ρ in g/cm3: 5.53

a = 3.195 Å, b = 3.195 Å, c = 16.824 Å
α = 90.00°, β = 90.00°, γ = 90.00°
Space group P4/mmm (No. 123)
One atom of each set of equivalent atoms:
Sc  0.000  0.000  0.000 x1
Sc  0.000  0.000  0.187 x2
Sc  0.000  0.000  0.373 x2
Cd  0.500  0.500  0.500 x1
Ni  0.500  0.500  0.094 x2
Ni  0.500  0.500  0.283 x2



Crystalline TlFeRu4 at its relaxed geometry. Source: the Alexandria database, functional PBE.

Summary:
ΔH_f (0 K) in kcal/mol of atoms: 15.63
D(E_F) in states/eV/cell: 36.19
ρ in g/cm3: 11.34

a = 7.301 Å, b = 7.301 Å, c = 7.301 Å
α = 90.00°, β = 90.00°, γ = 90.00°
Space group F-43m (No. 216)
One atom of each set of equivalent atoms:
Tl  0.000  0.000  0.000 x4
Fe  0.250  0.250  0.750 x4
Ru  0.125  0.125  0.375 x16



Crystalline Tb2PaRu2 at its relaxed geometry. Source: the Alexandria database, functional PBE.

Summary:
ΔH_f (0 K) in kcal/mol of atoms: -11.08
D(E_F) in states/eV/cell: 21.55
ρ in g/cm3: 10.77

a = 10.125 Å, b = 5.923 Å, c = 7.867 Å
α = 90.00°, β = 101.00°, γ = 90.00°
Space group C2/c (No. 15)
One atom of each set of equivalent atoms:
Tb  0.152  0.126  0.151 x8
Pa  0.000  0.367  0.750 x4
Ru  0.129  0.370  0.513 x8



Crystalline CsTiB at its relaxed geometry. Source: the Alexandria database, functional PBE.

Summary:
ΔH_f (0 K) in kcal/mol of atoms: 16.23
D(E_F) in states/eV/cell: 5.37
ρ in g/cm3: 3.39

a = 8.472 Å, b = 3.882 Å, c = 11.415 Å
α = 90.00°, β = 90.00°, γ = 90.00°
Space group Pnma (No. 62)
One atom of each set of equivalent atoms:
Cs  0.023  0.250  0.184 x4
Ti  0.117  0.750  0.481 x4
B  0.122  0.250  0.571 x4



Crystalline MoAs2P at its relaxed geometry. Source: the Alexandria database, functional PBE.

Summary:
ΔH_f (0 K) in kcal/mol of atoms: -1.50
D(E_F) in states/eV/cell: 1.15
ρ in g/cm3: 6.47

a = 3.125 Å, b = 3.125 Å, c = 7.274 Å
α = 90.00°, β = 90.00°, γ = 90.00°
Space group P4mm (No. 99)
One atom of each set of equivalent atoms:
Mo  0.000  0.000  0.000 x1
As  0.000  0.000  0.373 x1
As  0.500  0.500  0.769 x1
P  0.500  0.500  0.162 x1



Crystalline ZnRe2Bi at its relaxed geometry. Source: the Alexandria database, functional PBE.

Summary:
ΔH_f (0 K) in kcal/mol of atoms: 18.02
D(E_F) in states/eV/cell: 3.58
ρ in g/cm3: 13.55

a = 4.100 Å, b = 4.100 Å, c = 18.868 Å
α = 90.00°, β = 90.00°, γ = 90.00°
Space group I-42d (No. 122)
One atom of each set of equivalent atoms:
Zn  0.000  0.000  0.000 x4
Re  0.164  0.250  0.125 x8
Bi  0.000  0.000  0.500 x4



Crystalline PmSmHoTl at its relaxed geometry. Source: the Alexandria database, functional PBE.

Summary:
ΔH_f (0 K) in kcal/mol of atoms: -4.37
D(E_F) in states/eV/cell: 6.38
ρ in g/cm3: 9.31

a = 4.874 Å, b = 4.886 Å, c = 4.976 Å
α = 90.00°, β = 90.00°, γ = 90.00°
Space group Pmmm (No. 47)
One atom of each set of equivalent atoms:
Pm  0.000  0.000  0.000 x1
Sm  0.500  0.500  0.000 x1
Ho  0.500  0.000  0.500 x1
Tl  0.000  0.500  0.500 x1



Crystalline Nd2YAl3 at its relaxed geometry. Source: the Alexandria database, functional PBE.

Summary:
ΔH_f (0 K) in kcal/mol of atoms: -8.65
D(E_F) in states/eV/cell: 4.68
ρ in g/cm3: 5.06

a = 5.206 Å, b = 7.397 Å, c = 8.238 Å
α = 90.00°, β = 108.35°, γ = 90.00°
Space group P2/m (No. 10)
One atom of each set of equivalent atoms:
Nd  0.000  0.000  0.000 x1
Nd  0.000  0.500  0.000 x1
Nd  0.336  0.000  0.672 x2
Y  0.333  0.500  0.665 x2
Al  0.169  0.259  0.339 x4
Al  0.500  0.260  0.000 x2



Crystalline LiTm2Ga12 at its relaxed geometry. Source: the Alexandria database, functional PBE.

Summary:
ΔH_f (0 K) in kcal/mol of atoms: -6.18
D(E_F) in states/eV/cell: 8.70
ρ in g/cm3: 6.95

a = 6.137 Å, b = 6.137 Å, c = 15.000 Å
α = 90.00°, β = 90.00°, γ = 90.00°
Space group P4/nbm (No. 125, origin choice 2)
One atom of each set of equivalent atoms:
Li  0.250  0.750  0.000 x2
Tm  0.250  0.750  0.243 x4
Ga  0.001  0.501  0.088 x8
Ga  0.085  0.585  0.571 x8
Ga  0.250  0.250  0.184 x4
Ga  0.250  0.250  0.345 x4



Crystalline KNbNiAs3 at its relaxed geometry. Source: the Alexandria database, functional PBE.

Summary:
ΔH_f (0 K) in kcal/mol of atoms: -9.08
D(E_F) in states/eV/cell: 3.73
ρ in g/cm3: 5.14

a = 8.220 Å, b = 3.868 Å, c = 9.075 Å
α = 90.00°, β = 111.41°, γ = 90.00°
Space group P2_1/m (No. 11)
One atom of each set of equivalent atoms:
K  0.241  0.250  0.490 x2
Nb  0.352  0.250  0.042 x2
Ni  0.093  0.750  0.983 x2
As  0.027  0.250  0.813 x2
As  0.313  0.750  0.810 x2
As  0.344  0.750  0.231 x2



Crystalline Th2UPtN5 at its relaxed geometry. Source: the Alexandria database, functional PBE.

Summary:
Formation energy (no corrections) in eV/atom: -1.0264
D(E_F) in states/eV/cell: 11.66
ρ in g/cm3: 12.39

a = 3.432 Å, b = 14.317 Å, c = 10.558 Å
α = 90.00°, β = 90.00°, γ = 90.00°
Space group Cmc2_1 (No. 36)
One atom of each set of equivalent atoms:
Th  0.000  0.109  0.000 x4
Th  0.000  0.128  0.624 x4
U  0.000  0.197  0.321 x4
Pt  0.000  0.477  0.787 x4
N  0.000  0.048  0.398 x4
N  0.000  0.287  0.959 x4
N  0.000  0.294  0.680 x4
N  0.000  0.345  0.319 x4
N  0.000  0.497  0.094 x4



Crystalline Pm3ZnRu3 at its relaxed geometry. Source: the Alexandria database, functional PBE.

Summary:
ΔH_f (0 K) in kcal/mol of atoms: -5.82
D(E_F) in states/eV/cell: 21.26
ρ in g/cm3: 8.68

a = 4.380 Å, b = 10.447 Å, c = 13.443 Å
α = 90.00°, β = 90.00°, γ = 90.00°
Space group Cmcm (No. 63)
One atom of each set of equivalent atoms:
Pm  0.000  0.004  0.250 x4
Pm  0.000  0.294  0.104 x8
Zn  0.000  0.000  0.000 x4
Ru  0.000  0.292  0.750 x4
Ru  0.000  0.419  0.593 x8



Crystalline TlCo2Si at its relaxed geometry. Source: the Alexandria database, functional PBE.

Summary:
Formation energy (no corrections) in eV/atom: 0.0383
D(E_F) in states/eV/cell: 2.33
ρ in g/cm3: 10.65

a = 2.836 Å, b = 2.836 Å, c = 6.794 Å
α = 90.00°, β = 90.00°, γ = 90.00°
Space group P4/mmm (No. 123)
One atom of each set of equivalent atoms:
Tl  0.000  0.000  0.000 x1
Co  0.500  0.500  0.309 x2
Si  0.000  0.000  0.500 x1



Crystalline Cs2Cd7Au at its relaxed geometry. Source: the Alexandria database, functional PBE.

Summary:
ΔH_f (0 K) in kcal/mol of atoms: -0.89
D(E_F) in states/eV/cell: 16.89
ρ in g/cm3: 5.97

a = 11.160 Å, b = 11.160 Å, c = 11.160 Å
α = 90.00°, β = 90.00°, γ = 90.00°
Space group Fm-3m (No. 225)
One atom of each set of equivalent atoms:
Cs  0.250  0.250  0.250 x8
Cd  0.000  0.000  0.000 x4
Cd  0.000  0.000  0.255 x24
Au  0.000  0.000  0.500 x4



Crystalline LuZrTlIn at its relaxed geometry. Source: the Alexandria database, functional PBE.

Summary:
ΔH_f (0 K) in kcal/mol of atoms: -3.37
D(E_F) in states/eV/cell: 14.45
ρ in g/cm3: 10.07

a = 7.283 Å, b = 7.283 Å, c = 7.283 Å
α = 90.00°, β = 90.00°, γ = 90.00°
Space group F-43m (No. 216)
One atom of each set of equivalent atoms:
Lu  0.000  0.000  0.000 x4
Zr  0.000  0.000  0.500 x4
Tl  0.250  0.250  0.250 x4
In  0.250  0.250  0.750 x4



Crystalline PaCdIn at its relaxed geometry. Source: the Alexandria database, functional PBE.

Summary:
ΔH_f (0 K) in kcal/mol of atoms: 3.03
D(E_F) in states/eV/cell: 10.44
ρ in g/cm3: 10.16

a = 3.013 Å, b = 4.370 Å, c = 11.377 Å
α = 90.00°, β = 90.00°, γ = 90.00°
Space group Imm2 (No. 44)
One atom of each set of equivalent atoms:
Pa  0.000  0.000  0.000 x2
Cd  0.000  0.000  0.676 x2
In  0.000  0.000  0.326 x2



Crystalline MoIrRu4 at its relaxed geometry. Source: the Alexandria database, functional PBE.

Summary:
ΔH_f (0 K) in kcal/mol of atoms: 10.11
D(E_F) in states/eV/cell: 47.70
ρ in g/cm3: 12.79

a = 7.111 Å, b = 7.111 Å, c = 7.111 Å
α = 90.00°, β = 90.00°, γ = 90.00°
Space group F-43m (No. 216)
One atom of each set of equivalent atoms:
Mo  0.000  0.000  0.000 x4
Ir  0.250  0.250  0.250 x4
Ru  0.124  0.124  0.624 x16



Crystalline YBNO2 at its relaxed geometry. Source: the Alexandria database, functional PBE.

Summary:
Formation energy (no corrections) in eV/atom: -1.3585
D(E_F) in states/eV/cell: 1.49
ρ in g/cm3: 5.44

a = 3.745 Å, b = 3.745 Å, c = 3.173 Å
α = 90.00°, β = 90.00°, γ = 90.00°
Space group P4/mmm (No. 123)
One atom of each set of equivalent atoms:
Y  0.000  0.000  0.000 x1
B  0.500  0.500  0.500 x1
N  0.500  0.500  0.000 x1
O  0.000  0.500  0.500 x2



Crystalline BaSi2Mo at its relaxed geometry. Source: the Alexandria database, functional PBE.

Summary:
Formation energy (no corrections) in eV/atom: 0.7695
D(E_F) in states/eV/cell: 4.02
ρ in g/cm3: 5.87

a = 5.336 Å, b = 5.336 Å, c = 2.875 Å
α = 90.00°, β = 90.00°, γ = 90.00°
Space group P4/mmm (No. 123)
One atom of each set of equivalent atoms:
Ba  0.000  0.000  0.000 x1
Si  0.000  0.500  0.500 x2
Mo  0.500  0.500  0.000 x1



Crystalline YBe2GaAu4 at its relaxed geometry. Source: the Alexandria database, functional PBE.

Summary:
ΔH_f (0 K) in kcal/mol of atoms: -6.70
D(E_F) in states/eV/cell: 12.48
ρ in g/cm3: 11.27

a = 4.1042 Å, b = 4.1042 Å, c = 29.2163 Å
α = 90.00°, β = 90.00°, γ = 120.00°
Space group R-3m (No. 166, hexagonal axes)
One atom of each set of equivalent atoms:
Y  0.0000  0.0000  0.0000 x3
Be  0.0000  0.0000  0.2514 x6
Ga  0.0000  0.0000  0.5000 x3
Au  0.0000  0.0000  0.1213 x6
Au  0.0000  0.0000  0.3971 x6